An optimized crystal structure of EuHoAs, computed with PBE.

The structure belongs to space group P3m1 (No. 156); the cell edges are 4.7348, 4.7348 and 4.6302 Å and the angles 90.00°, 90.00° and 120.00°. Symmetry generates all atoms from Eu at (0.0000, 0.0000, 0.0000), Ho at (0.3333, 0.6667, 0.4985) and As at (0.6667, 0.3333, 0.6086).

The calculation puts the formation energy at -665 meV per atom.